1.
Entry from Alexandria: crystalline ZnIn2Hg2 at its relaxed geometry (PBE).

- total energy (eV/cell) = -14.0
- formation energy from the elements (eV/f.u.) = 0.347
- theoretical density (g/cm3) = 9.24
- DOS(E_F) (states/eV/f.u.) = 1.32

abc: 6.825 6.825 6.952
angles: 103.63 103.63 119.14
Fractional coordinates of all 10 atoms:
Zn  0.116  0.884  0.000
Zn  0.884  0.116  0.000
In  0.014  0.427  0.738
In  0.427  0.014  0.738
In  0.573  0.986  0.262
In  0.986  0.573  0.262
Hg  0.170  0.170  0.419
Hg  0.416  0.416  0.157
Hg  0.584  0.584  0.843
Hg  0.830  0.830  0.581

2.
Entry from Alexandria: crystalline Zn2InHg2 at its relaxed geometry (PBE).

- total energy (eV/cell) = -5.3
- formation energy from the elements (eV/f.u.) = 0.630
- theoretical density (g/cm3) = 9.18
- DOS(E_F) (states/eV/f.u.) = 2.12

abc: 6.825 6.825 6.825
angles: 142.50 142.50 54.08
Fractional coordinates of all 5 atoms:
Zn  0.101  0.101  0.000
Zn  0.899  0.899  0.000
In  0.500  0.500  0.000
Hg  0.250  0.750  0.500
Hg  0.750  0.250  0.500

What offset from the most stable computed form values result from the calculations? In sequence: 0 31 meV per atom.